LiBeFe2: relaxed, PBE.

Magnetization in μB per formula unit: 3.7
DOS(E_F) in states/eV/f.u.: 2.52
VASP energy in eV for the cell shown: -21.9
Formation energy in meV/atom: 159.3

Cell lengths 2.7720, 3.9031, 3.8831 Å; angles 90.00, 90.00, 90.00 degrees
With the nearest neighbours (Å) after each atom.
Positions (direct):
Fe1 0.5000 0.5000 0.0000  4 Be 2.39, 4 Fe 2.39
Fe2 0.0000 0.0000 0.0000  4 Li 2.39, 4 Fe 2.39
Li1 0.5000 0.0000 0.5000  4 Fe 2.39, 4 Be 2.39
Be1 0.0000 0.5000 0.5000  4 Fe 2.39, 4 Li 2.39


KNaLiTl2: relaxed, PBE.

Magnetization in μB per formula unit: 0.0
DOS(E_F) in states/eV/f.u.: 2.78
VASP energy in eV for the cell shown: -9.2
Formation energy in meV/atom: -18.6
Relative energy among the computed polymorphs in eV per atom: 0.000

Cell lengths 5.3525, 5.3525, 5.5953 Å; angles 90.00, 90.00, 90.00 degrees
With the nearest neighbours (Å) after each atom.
Positions (direct):
Li1 0.0000 0.0000 0.0000  4 Tl 2.68, 2 Na 2.80
Tl1 0.5000 0.0000 0.0000  2 Li 2.68
Na1 0.0000 0.0000 0.5000  2 Li 2.80
Tl2 0.0000 0.5000 0.0000  2 Li 2.68
K1 0.5000 0.5000 0.5000  4 Na 3.78, 8 Tl 3.87


LiPt2WS: relaxed, PBE.

Magnetization in μB per formula unit: 0.0
DOS(E_F) in states/eV/f.u.: 3.14
VASP energy in eV for the cell shown: -29.4
Raw formation energy in eV per atom: 0.33

Cell lengths 4.9449, 4.5691, 4.9449 Å; angles 90.00, 90.00, 90.00 degrees
With the nearest neighbours (Å) after each atom.
Positions (direct):
S1 0.0000 0.5000 0.0000  2 W 2.28
Li1 0.5000 0.5000 0.5000  8 Pt 3.37, 4 S 3.50
Pt1 0.0000 0.0000 0.5000  2 W 2.47
Pt2 0.5000 0.0000 0.0000  2 W 2.47
W1 0.0000 0.0000 0.0000  2 S 2.28, 4 Pt 2.47


Mn2AsPt: relaxed, PBE.

Magnetization in μB per formula unit: 7.2
DOS(E_F) in states/eV/f.u.: 2.68
VASP energy in eV for the cell shown: -29.5
Formation energy in meV/atom: -124.9
Relative energy among the computed polymorphs in eV per atom: 0.026

Cell lengths 3.3029, 3.3029, 5.5186 Å; angles 90.00, 90.00, 90.00 degrees
With the nearest neighbours (Å) after each atom.
Positions (direct):
As1 0.5000 0.5000 0.7500  8 Mn 2.69, 2 Pt 2.76
Pt1 0.5000 0.5000 0.2500  8 Mn 2.73, 2 As 2.76
Mn1 0.0000 0.0000 0.5078  2 Mn 2.67-2.85, 4 As 2.69, 4 Pt 2.73
Mn2 0.0000 0.0000 0.9922  2 Mn 2.67-2.85, 4 As 2.69, 4 Pt 2.73


VBiAsCl2: relaxed, PBE.

Magnetization in μB per formula unit: 1.1
DOS(E_F) in states/eV/f.u.: 4.04
VASP energy in eV for the cell shown: -21.9
Raw formation energy in eV per atom: -0.11

Cell lengths 4.4750, 6.0975, 4.4750 Å; angles 90.00, 90.00, 90.00 degrees
With the nearest neighbours (Å) after each atom.
Positions (direct):
As1 0.5000 0.5000 0.5000  4 Bi 3.16
Bi1 0.0000 0.5000 0.0000  2 V 3.05, 4 As 3.16
Cl1 0.5000 0.0000 0.0000  2 V 2.24
V1 0.0000 0.0000 0.0000  4 Cl 2.24
Cl2 0.0000 0.0000 0.5000  2 V 2.24


SrHfRu3: relaxed, PBE.

Magnetization in μB per formula unit: 3.3
DOS(E_F) in states/eV/f.u.: 6.84
VASP energy in eV for the cell shown: -35.0
Formation energy in meV/atom: 899.5
Relative energy among the computed polymorphs in eV per atom: 0.000

Cell lengths 4.9019, 4.9019, 4.9019 Å; angles 90.00, 90.00, 90.00 degrees
With the nearest neighbours (Å) after each atom.
Positions (direct):
Ru1 0.5000 0.0000 0.0000  2 Hf 2.45
Hf1 0.0000 0.0000 0.0000  6 Ru 2.45
Ru2 0.0000 0.5000 0.0000  2 Hf 2.45
Ru3 0.0000 0.0000 0.5000  2 Hf 2.45
Sr1 0.5000 0.5000 0.5000  12 Ru 3.47